! TlGa3P GGA-PBE relaxed; values from VASP
&SYSTEM
  ibrav = 0, nat = 5, ntyp = 3
/
ATOMIC_SPECIES
Tl 204.38 Tl.upf
Ga 69.72 Ga.upf
P 30.97 P.upf
ATOMIC_POSITIONS crystal
Tl 0.000 0.000 0.000
Ga 0.000 0.500 0.500
Ga 0.500 0.000 0.500
Ga 0.500 0.500 0.000
P 0.500 0.500 0.500
CELL_PARAMETERS angstrom
4.893 0.000 0.000
0.000 4.893 0.000
0.000 0.000 4.893
! ρ   6.3 g cm⁻³
! Density of states at the Fermi level   2.5 states/eV/f.u.
! Formation energy from the elements   24.7 kJ/mol of atoms